VASP calculation (PBE-GGA) on crystalline Ag2GeHRh at its relaxed geometry.

The value obtained for the volume is 14.20 Å³/atom. For the raw total energy, the calculation gives -3.97 eV/atom.

It has space group P4/mmm (No. 123), with a = 3.840 Å, b = 3.840 Å, c = 4.816 Å, α = 90.00°, β = 90.00° and γ = 90.00°. The distinct sites, in fractional coordinates, are Ag at (0.000, 0.500, 0.000), Ge at (0.000, 0.000, 0.500), H at (0.000, 0.000, 0.000) and Rh at (0.500, 0.500, 0.500).


VASP calculation (PBE-GGA) on crystalline ScNbCuOs2 at its relaxed geometry.

The value obtained for the formation energy is 1.140 eV/atom. The value obtained for the volume is 18.64 Å³/atom. For the raw total energy, the calculation gives -7.45 eV/atom.

It has space group P4/mmm (No. 123), with a = 4.585 Å, b = 4.585 Å, c = 4.434 Å, α = 90.00°, β = 90.00° and γ = 90.00°. The distinct sites, in fractional coordinates, are Sc at (0.000, 0.000, 0.000), Nb at (0.500, 0.500, 0.000), Cu at (0.500, 0.500, 0.500) and Os at (0.000, 0.500, 0.500).


VASP calculation (PBE-GGA) on crystalline Er2V2Co15 at its relaxed geometry.

The value obtained for the formation energy is -0.131 eV/atom. The value obtained for the volume is 12.69 Å³/atom. For the raw total energy, the calculation gives -7.18 eV/atom.

It has space group R-3m (No. 166, hexagonal axes), with a = 8.2919 Å, b = 8.2919 Å, c = 12.1504 Å, α = 90.00°, β = 90.00° and γ = 120.00°. The distinct sites, in fractional coordinates, are Er at (0.0000, 0.0000, 0.1524), V at (0.0000, 0.0000, 0.4037), Co at (0.0000, 0.2937, 0.5000), Co at (0.0000, 0.5000, 0.0000) and Co at (0.0014, 0.5007, 0.3470).


VASP calculation (PBE-GGA) on crystalline Sr2AcYSe4 at its relaxed geometry.

The value obtained for the volume is 29.26 Å³/atom. The value obtained for the formation energy (no corrections) is -1.895 eV per atom. For the raw total energy, the calculation gives -5.38 eV/atom.

It has space group P2/m (No. 10), with a = 7.511 Å, b = 4.330 Å, c = 7.615 Å, α = 90.00°, β = 109.08° and γ = 90.00°. The distinct sites, in fractional coordinates, are Sr at (0.000, 0.000, 0.000), Sr at (0.500, 0.500, 0.000), Ac at (0.000, 0.500, 0.500), Y at (0.500, 0.000, 0.500), Se at (0.263, 0.000, 0.747) and Se at (0.267, 0.500, 0.263).


VASP calculation (PBE-GGA) on crystalline Ho2TmTl9 at its relaxed geometry.

The value obtained for the formation energy is -0.205 eV/atom. The value obtained for the volume is 26.87 Å³/atom. For the raw total energy, the calculation gives -3.12 eV/atom.

It has space group P4/mmm (No. 123), with a = 4.755 Å, b = 4.755 Å, c = 14.262 Å, α = 90.00°, β = 90.00° and γ = 90.00°. The distinct sites, in fractional coordinates, are Ho at (0.000, 0.000, 0.167), Tm at (0.000, 0.000, 0.500), Tl at (0.000, 0.500, 0.000), Tl at (0.000, 0.500, 0.334), Tl at (0.500, 0.500, 0.167) and Tl at (0.500, 0.500, 0.500).


VASP calculation (PBE-GGA) on crystalline Zr2AgRh at its relaxed geometry.

The value obtained for the formation energy is -0.251 eV/atom. The value obtained for the volume is 19.18 Å³/atom. For the raw total energy, the calculation gives -7.08 eV/atom.

It has space group Cm (No. 8), with a = 10.081 Å, b = 3.154 Å, c = 4.972 Å, α = 90.00°, β = 103.96° and γ = 90.00°. The distinct sites, in fractional coordinates, are Zr at (0.000, 0.000, 0.000), Zr at (0.231, 0.000, 0.669), Ag at (0.473, 0.000, 0.472) and Rh at (0.237, 0.500, 0.178).


VASP calculation (PBE-GGA) on crystalline CaPrSc2 at its relaxed geometry.

The value obtained for the formation energy is 0.196 eV/atom. The value obtained for the volume is 30.45 Å³/atom. For the raw total energy, the calculation gives -4.67 eV/atom.

It has space group P4/mmm (No. 123), with a = 5.012 Å, b = 5.012 Å, c = 4.848 Å, α = 90.00°, β = 90.00° and γ = 90.00°. The distinct sites, in fractional coordinates, are Ca at (0.000, 0.000, 0.000), Pr at (0.500, 0.500, 0.000) and Sc at (0.000, 0.500, 0.500).


VASP calculation (PBE-GGA) on crystalline YPu4Sb5 at its relaxed geometry.

The value obtained for the volume is 30.45 Å³/atom. The value obtained for the formation energy (no corrections) is -0.704 eV per atom. For the raw total energy, the calculation gives -9.14 eV/atom.

It has space group C2/m (No. 12), with a = 14.640 Å, b = 4.420 Å, c = 10.815 Å, α = 90.00°, β = 119.50° and γ = 90.00°. The distinct sites, in fractional coordinates, are Y at (0.000, 0.000, 0.000), Pu at (0.100, 0.500, 0.400), Pu at (0.200, 0.000, 0.800), Sb at (0.000, 0.000, 0.500), Sb at (0.100, 0.500, 0.900) and Sb at (0.200, 0.000, 0.299).


VASP calculation (PBE-GGA) on crystalline Dy12Th7Sc at its relaxed geometry.

The value obtained for the formation energy is 0.995 eV/atom. The value obtained for the volume is 38.09 Å³/atom. For the raw total energy, the calculation gives -4.68 eV/atom.

It has space group Im-3 (No. 204), with a = 11.506 Å, b = 11.506 Å, c = 11.506 Å, α = 90.00°, β = 90.00° and γ = 90.00°. The distinct sites, in fractional coordinates, are Dy at (0.000, 0.251, 0.250), Th at (0.000, 0.000, 0.500), Th at (0.250, 0.250, 0.250) and Sc at (0.000, 0.000, 0.000).


VASP calculation (PBE-GGA) on crystalline Tm4CuC2 at its relaxed geometry.

The value obtained for the formation energy is -0.253 eV/atom. The value obtained for the volume is 19.19 Å³/atom. For the raw total energy, the calculation gives -6.03 eV/atom.

It has space group Cmcm (No. 63), with a = 3.593 Å, b = 11.851 Å, c = 12.616 Å, α = 90.00°, β = 90.00° and γ = 90.00°. The distinct sites, in fractional coordinates, are Tm at (0.000, 0.000, 0.000), Tm at (0.000, 0.266, 0.106), Tm at (0.000, 0.432, 0.750), Cu at (0.000, 0.115, 0.750) and C at (0.000, 0.365, 0.563).


VASP calculation (PBE-GGA) on crystalline TbCe3Ho2S6 at its relaxed geometry.

The value obtained for the volume is 22.01 Å³/atom. The value obtained for the formation energy (no corrections) is -2.028 eV per atom. For the raw total energy, the calculation gives -6.72 eV/atom.

It has space group C2/m (No. 12), with a = 6.824 Å, b = 11.830 Å, c = 6.929 Å, α = 90.00°, β = 109.21° and γ = 90.00°. The distinct sites, in fractional coordinates, are Tb at (0.000, 0.000, 0.000), Ce at (0.000, 0.166, 0.500), Ce at (0.000, 0.500, 0.500), Ho at (0.000, 0.333, 0.000), S at (0.243, 0.500, 0.237) and S at (0.247, 0.168, 0.238).


VASP calculation (PBE-GGA) on crystalline KLiReN3 at its relaxed geometry.

The value obtained for the volume is 13.89 Å³/atom. The value obtained for the formation energy (no corrections) is -0.264 eV per atom. For the raw total energy, the calculation gives -7.00 eV/atom.

It has space group C2/c (No. 15), with a = 5.736 Å, b = 10.664 Å, c = 5.463 Å, α = 90.00°, β = 93.84° and γ = 90.00°. The distinct sites, in fractional coordinates, are K at (0.000, 0.228, 0.250), Li at (0.000, 0.071, 0.750), Re at (0.000, 0.445, 0.750), N at (0.000, 0.280, 0.750) and N at (0.228, 0.488, 0.501).


Question: Which of these has the highest raw total energy?
Answer: Ho2TmTl9


Question: Among the records above, which one has the highest raw total energy?
Answer: Ho2TmTl9


Question: Which of these has the highest raw total energy?
Answer: Ho2TmTl9


Repeat the eighth record exactly.
VASP calculation (PBE-GGA) on crystalline YPu4Sb5 at its relaxed geometry.

The value obtained for the volume is 30.45 Å³/atom. The value obtained for the formation energy (no corrections) is -0.704 eV per atom. For the raw total energy, the calculation gives -9.14 eV/atom.

It has space group C2/m (No. 12), with a = 14.640 Å, b = 4.420 Å, c = 10.815 Å, α = 90.00°, β = 119.50° and γ = 90.00°. The distinct sites, in fractional coordinates, are Y at (0.000, 0.000, 0.000), Pu at (0.100, 0.500, 0.400), Pu at (0.200, 0.000, 0.800), Sb at (0.000, 0.000, 0.500), Sb at (0.100, 0.500, 0.900) and Sb at (0.200, 0.000, 0.299).